The following is a GGA-PBE calculation of a geometry-optimized Rb2SnAuF6 structure, from the Open Quantum Materials Database.

Lattice parameters (Å, degrees): 6.128 6.500 8.788 89.44 87.52 89.50
Atoms (fractional coordinates):
Rb 0.015 0.057 0.257
Rb 0.478 0.564 0.263
Rb 0.522 0.436 0.737
Rb 0.985 0.943 0.743
Sn 0.000 0.500 0.000
Sn 0.500 0.000 0.500
Au 0.000 0.500 0.500
Au 0.500 0.000 0.000
F 0.097 0.533 0.783
F 0.119 0.776 0.043
F 0.200 0.815 0.462
F 0.286 0.368 0.042
F 0.302 0.295 0.473
F 0.438 0.996 0.769
F 0.562 0.004 0.231
F 0.698 0.705 0.527
F 0.714 0.632 0.958
F 0.800 0.185 0.538
F 0.881 0.224 0.957
F 0.903 0.467 0.217

Calculated values
Electronic total energy, eV per atom: -4.17



The following is a GGA-PBE calculation of a geometry-optimized GdSi4C structure, from the Open Quantum Materials Database.

Lattice parameters (Å, degrees): 5.737 5.737 3.800 90.00 90.00 92.55
Atoms (fractional coordinates):
Gd 0.000 0.000 0.000
Si 0.272 0.272 0.500
Si 0.358 0.642 0.000
Si 0.642 0.358 0.000
Si 0.728 0.728 0.500
C 0.500 0.500 0.500

Calculated values
Electronic total energy, eV per atom: -5.25



The following is a GGA-PBE calculation of a geometry-optimized NpOs structure, from the Open Quantum Materials Database.

Lattice parameters (Å, degrees): 2.842 2.842 4.995 90.00 90.00 120.00
Atoms (fractional coordinates):
Np 0.000 0.000 0.000
Os 0.667 0.333 0.500

Calculated values
Energy of formation, eV per atom: 0.303



The following is a GGA-PBE calculation of a geometry-optimized CsTb2CuTeSe3 structure, from the Open Quantum Materials Database.

Lattice parameters (Å, degrees): 7.734 7.734 14.851 90.00 90.00 148.08
Atoms (fractional coordinates):
Cs 0.123 0.877 0.750
Cs 0.877 0.123 0.250
Tb 0.367 0.633 0.555
Tb 0.367 0.633 0.945
Tb 0.633 0.367 0.055
Tb 0.633 0.367 0.445
Cu 0.168 0.832 0.250
Cu 0.832 0.168 0.750
Te 0.431 0.569 0.750
Te 0.569 0.431 0.250
Se 0.000 0.000 0.000
Se 0.000 0.000 0.500
Se 0.254 0.746 0.105
Se 0.254 0.746 0.395
Se 0.746 0.254 0.605
Se 0.746 0.254 0.895

Calculated values
Energy above the lowest structure with this stoichiometry, meV/atom: 33